Dy2CoOs3 | PBE | relaxed

Cell lengths 5.3098, 5.3098, 5.3098 Å; angles 59.42, 59.42, 59.42 degrees
Atoms (fractional coordinates):
Dy  0.1241  0.1241  0.1241
Dy  0.8759  0.8759  0.8759
Co  0.5000  0.5000  0.5000
Os  0.0000  0.5000  0.5000
Os  0.5000  0.0000  0.5000
Os  0.5000  0.5000  0.0000

Calculated values
Energy of formation from the pure elements, kcal/mol of atoms: -6.718
SG: R-3m
Density of states at the Fermi level, states/eV/cell: 5.4
Spin magnetization, μB/cell: 0.617